Record 1
LiTl2Sn: optimized geometry, PBEsol.

abc: 7.4076 7.4076 7.4076
angles: 90.00 90.00 90.00
Fractional coordinates of all 16 atoms:
Li  0.0000  0.0000  0.0000
Li  0.0000  0.5000  0.5000
Li  0.5000  0.0000  0.5000
Li  0.5000  0.5000  0.0000
Tl  0.2500  0.2500  0.2500
Tl  0.2500  0.2500  0.7500
Tl  0.2500  0.7500  0.2500
Tl  0.2500  0.7500  0.7500
Tl  0.7500  0.2500  0.2500
Tl  0.7500  0.2500  0.7500
Tl  0.7500  0.7500  0.2500
Tl  0.7500  0.7500  0.7500
Sn  0.0000  0.0000  0.5000
Sn  0.0000  0.5000  0.0000
Sn  0.5000  0.0000  0.0000
Sn  0.5000  0.5000  0.5000

Output
The size of the total moment is 0.00 μB per formula unit. The formation enthalpy at 0 K comes out at -36 kJ/mol of formula units.

Record 2
Li2TlSn2: optimized geometry, PBEsol.

abc: 8.4163 8.4163 3.1783
angles: 90.00 90.00 90.00
Fractional coordinates of all 10 atoms:
Li  0.1798  0.3202  0.0000
Li  0.3202  0.8202  0.0000
Li  0.6798  0.1798  0.0000
Li  0.8202  0.6798  0.0000
Tl  0.0000  0.0000  0.5000
Tl  0.5000  0.5000  0.5000
Sn  0.1207  0.6207  0.5000
Sn  0.3793  0.1207  0.5000
Sn  0.6207  0.8793  0.5000
Sn  0.8793  0.3793  0.5000

Output
The size of the total moment is 0.00 μB per formula unit. The formation enthalpy at 0 K comes out at -113 kJ/mol of formula units.

Record 3
Li3TlSn: optimized geometry, PBEsol.

abc: 5.1271 5.1271 5.1271
angles: 90.00 90.00 90.00
Fractional coordinates of all 5 atoms:
Li  0.0000  0.0000  0.5000
Li  0.0000  0.5000  0.0000
Li  0.5000  0.0000  0.0000
Tl  0.5000  0.5000  0.5000
Sn  0.0000  0.0000  0.0000

Output
As for the energy above the most stable polymorph in this dataset: 0.000 eV per atom. The size of the total moment is 0.00 μB per formula unit. The formation enthalpy at 0 K comes out at -2 kJ/mol of formula units.

Record 4
Li2TlSn: optimized geometry, PBEsol.

abc: 6.8123 6.8123 6.8123
angles: 90.00 90.00 90.00
Fractional coordinates of all 16 atoms:
Li  0.2500  0.2500  0.2500
Li  0.2500  0.2500  0.7500
Li  0.2500  0.7500  0.2500
Li  0.2500  0.7500  0.7500
Li  0.7500  0.2500  0.2500
Li  0.7500  0.2500  0.7500
Li  0.7500  0.7500  0.2500
Li  0.7500  0.7500  0.7500
Tl  0.0000  0.0000  0.0000
Tl  0.0000  0.5000  0.5000
Tl  0.5000  0.0000  0.5000
Tl  0.5000  0.5000  0.0000
Sn  0.0000  0.0000  0.5000
Sn  0.0000  0.5000  0.0000
Sn  0.5000  0.0000  0.0000
Sn  0.5000  0.5000  0.5000

Output
As for the energy above the most stable polymorph in this dataset: 0.000 eV per atom. The size of the total moment is 0.00 μB per formula unit. The formation enthalpy at 0 K comes out at -121 kJ/mol of formula units.